This record from Alexandria via LeMat-Bulk describes a geometry-optimized PuIn15Pb4 structure. The functional is GGA-PBE.

Cell lengths 4.9576, 4.9576, 22.6486 Å; angles 90.00, 90.00, 90.00 degrees
Fractional coordinates of all 20 atoms:
Pu  0.0000  0.0000  0.0000
In  0.0000  0.5000  0.0957
In  0.0000  0.5000  0.2982
In  0.0000  0.5000  0.5000
In  0.0000  0.5000  0.7018
In  0.0000  0.5000  0.9043
In  0.5000  0.0000  0.0957
In  0.5000  0.0000  0.2982
In  0.5000  0.0000  0.5000
In  0.5000  0.0000  0.7018
In  0.5000  0.0000  0.9043
In  0.5000  0.5000  0.0000
In  0.5000  0.5000  0.2003
In  0.5000  0.5000  0.3995
In  0.5000  0.5000  0.6005
In  0.5000  0.5000  0.7997
Pb  0.0000  0.0000  0.1895
Pb  0.0000  0.0000  0.3976
Pb  0.0000  0.0000  0.6024
Pb  0.0000  0.0000  0.8105

Results
Energy relative to the elements = -0.0136 eV per atom
M_tot = 0.29 μB/atom

=====

This record from Alexandria via LeMat-Bulk describes a geometry-optimized PuIn4Pb structure. The functional is GGA-PBE.

Cell lengths 7.7988, 7.7988, 4.6220 Å; angles 90.00, 90.00, 145.44 degrees
Fractional coordinates of all 6 atoms:
Pu  0.0000  0.0000  0.0000
In  0.1695  0.8305  0.5000
In  0.3315  0.6685  0.0000
In  0.6685  0.3315  0.0000
In  0.8305  0.1695  0.5000
Pb  0.5000  0.5000  0.5000

Results
Energy relative to the elements = -0.0806 eV per atom
M_tot = 0.97 μB/atom

=====

This record from Alexandria via LeMat-Bulk describes a geometry-optimized Pu6InPb2 structure. The functional is GGA-PBE.

Cell lengths 9.0877, 9.0877, 3.3441 Å; angles 90.00, 90.00, 120.00 degrees
Fractional coordinates of all 9 atoms:
Pu  0.0000  0.3320  0.0000
Pu  0.0000  0.6680  0.0000
Pu  0.3320  0.0000  0.0000
Pu  0.3320  0.3320  0.0000
Pu  0.6680  0.0000  0.0000
Pu  0.6680  0.6680  0.0000
In  0.0000  0.0000  0.5000
Pb  0.3333  0.6667  0.5000
Pb  0.6667  0.3333  0.5000

Results
Energy relative to the elements = -0.0076 eV per atom
M_tot = 4.11 μB/atom

=====

This record from Alexandria via LeMat-Bulk describes a geometry-optimized PuScInPb structure. The functional is GGA-PBE.

Cell lengths 5.2652, 5.2652, 5.2652 Å; angles 60.00, 60.00, 60.00 degrees
Fractional coordinates of all 4 atoms:
Pu  0.0000  0.0000  0.0000
Sc  0.5000  0.5000  0.5000
In  0.2500  0.2500  0.2500
Pb  0.7500  0.7500  0.7500

Results
Energy relative to the elements = -0.2063 eV per atom
M_tot = 1.58 μB/atom

=====

This record from Alexandria via LeMat-Bulk describes a geometry-optimized PuIn2PbSe4 structure. The functional is GGA-PBE.

Cell lengths 7.4891, 4.2524, 7.6970 Å; angles 90.00, 108.50, 90.00 degrees
Fractional coordinates of all 8 atoms:
Pu  0.0000  0.0000  0.0000
In  0.0000  0.5000  0.5000
In  0.5000  0.0000  0.5000
Pb  0.5000  0.5000  0.0000
Se  0.2189  0.5000  0.2238
Se  0.2301  0.0000  0.7604
Se  0.7699  0.0000  0.2396
Se  0.7811  0.5000  0.7762

Results
M_tot = 0.57 μB/atom
Total DFT energy (no corrections) = -5.40 eV per atom

=====

This record from Alexandria via LeMat-Bulk describes a geometry-optimized SmPuInPb structure. The functional is GGA-PBE.

Cell lengths 5.4494, 5.4494, 5.4494 Å; angles 60.00, 60.00, 60.00 degrees
Fractional coordinates of all 4 atoms:
Sm  0.0000  0.0000  0.0000
Pu  0.5000  0.5000  0.5000
In  0.7500  0.7500  0.7500
Pb  0.2500  0.2500  0.2500

Results
Energy relative to the elements = -0.2571 eV per atom
M_tot = 1.54 μB/atom

=====

This record from Alexandria via LeMat-Bulk describes a geometry-optimized SrPuInPb structure. The functional is GGA-PBE.

Cell lengths 5.6149, 5.6149, 5.6149 Å; angles 60.00, 60.00, 60.00 degrees
Fractional coordinates of all 4 atoms:
Sr  0.0000  0.0000  0.0000
Pu  0.5000  0.5000  0.5000
In  0.2500  0.2500  0.2500
Pb  0.7500  0.7500  0.7500

Results
Energy relative to the elements = -0.2121 eV per atom
M_tot = 1.47 μB/atom

=====

This record from Alexandria via LeMat-Bulk describes a geometry-optimized PuThInPb structure. The functional is GGA-PBE.

Cell lengths 4.6897, 4.8976, 4.9269 Å; angles 90.00, 90.00, 90.00 degrees
Fractional coordinates of all 4 atoms:
Pu  0.0000  0.0000  0.0000
Th  0.0000  0.5000  0.5000
In  0.5000  0.5000  0.0000
Pb  0.5000  0.0000  0.5000

Results
Energy relative to the elements = -0.2059 eV per atom
M_tot = 1.65 μB/atom